# Tl2FeAu (PBE, optimized geometry)
# Total moment, Bohr magnetons per cell: 5.78
# Space group: No. 122
# DFT formation energy, meV/atom: 543
# Relative energy among the computed polymorphs, meV/atom: 260.0
data_Tl2FeAu
_symmetry_space_group_name_H-M 'P 1'
_symmetry_Int_Tables_number 1
_cell_length_a 4.381
_cell_length_b 4.381
_cell_length_c 10.133
_cell_angle_alpha 77.52
_cell_angle_beta 77.52
_cell_angle_gamma 90.00
loop_
_symmetry_equiv_pos_as_xyz
'x,y,z'
loop_
_atom_site_label
_atom_site_type_symbol
_atom_site_fract_x
_atom_site_fract_y
_atom_site_fract_z
Tl1 Tl 0.612 0.125 0.250
Tl2 Tl 0.138 0.625 0.250
Tl3 Tl 0.875 0.862 0.750
Fe1 Fe 0.500 0.500 0.000
Au1 Au 0.000 0.000 0.000
Fe2 Fe 0.250 0.750 0.500
Au2 Au 0.750 0.250 0.500
Tl4 Tl 0.375 0.388 0.750